Entry from the Alexandria database: a geometry-optimized SrTi2Cl structure (PBE-GGA).

Structure (POSCAR):
```
SrTi2Cl
1.0
-4.024 4.024 2.840
4.024 -4.024 2.840
4.024 4.024 -2.840
Sr Ti Cl
2 4 2
Cartesian
0.000 0.000 0.000 Sr
0.000 4.024 1.420 Sr
2.012 2.788 -0.710 Ti
5.259 2.012 0.710 Ti
2.012 1.236 2.130 Ti
-1.236 2.012 3.551 Ti
4.024 0.000 1.420 Cl
0.000 0.000 2.840 Cl
```

## Properties
- formation energy (no corrections) (kJ/mol of atoms) = 17.6
- symmetry = I-42d
- crystal system = tetragonal
- Fermi-level density of states (states/eV/f.u.) = 3.8
- size of the total moment (Bohr magnetons per cell) = 2.02